(1)
DFT (GGA-PBE) results for crystalline LiGa2Ni at its relaxed geometry.

The structure in POSCAR format:
```
LiGa2Ni
1.0
4.1709 0.0000 0.0000
0.0000 5.8953 0.0000
0.0000 0.0000 12.5408
Ga Ni Li
12 6 6
Cartesian
0.0000 1.4760 6.2704 Ga
2.0838 1.4717 4.1805 Ga
0.0000 4.4193 6.2704 Ga
2.0838 4.4236 4.1805 Ga
0.0016 1.4759 10.4509 Ga
0.0016 4.4194 10.4509 Ga
2.0871 4.4236 8.3603 Ga
4.1693 4.4194 2.0899 Ga
4.1693 1.4759 2.0899 Ga
2.0854 4.4236 0.0000 Ga
2.0854 1.4717 0.0000 Ga
2.0871 1.4717 8.3603 Ga
2.0854 0.0000 6.2704 Ni
2.0872 0.0000 10.4509 Ni
0.0000 2.9476 0.0000 Ni
0.0018 2.9476 8.3603 Ni
4.1691 2.9476 4.1805 Ni
2.0837 0.0000 2.0899 Ni
0.0019 0.0000 8.3603 Li
2.0836 2.9476 2.0899 Li
2.0873 2.9476 10.4509 Li
0.0000 0.0000 0.0000 Li
4.1690 0.0000 4.1805 Li
2.0854 2.9476 6.2704 Li
```

Results
Space group ... Immm (71)
Energy above the most stable polymorph in this dataset ... 0 kJ/mol of formula units
Calculated density ... 6.63 g/cm³



(2)
DFT (GGA-PBE) results for crystalline CoRe at its relaxed geometry.

The structure in POSCAR format:
```
CoRe
1.0
-4.3418 1.0673 2.3623
1.2723 -4.8105 -0.9005
3.5041 -0.3047 6.5780
Re Co
6 6
Cartesian
2.3141 -1.7228 5.0315 Re
-2.4850 -0.0357 3.4368 Re
2.9196 -4.0122 4.6030 Re
-0.4187 -0.5436 2.3125 Re
0.8533 -3.5043 5.7272 Re
-1.8795 -2.3251 3.0082 Re
1.7520 -0.1523 3.2890 Co
0.7388 -1.1710 7.2991 Co
-0.3042 -2.8769 0.7407 Co
-0.4235 -1.0700 5.1173 Co
0.8581 -2.9779 2.9225 Co
0.0000 0.0000 0.0000 Co
```

Results
Space group ... P6_3/mmc (194)
E_form ... 0.5027 eV per atom
Calculated density ... 14.79 g/cm³



(3)
DFT (GGA-PBE) results for crystalline CsSmAg at its relaxed geometry.

The structure in POSCAR format:
```
CsSmAg
1.0
2.2284 -4.4336 -1.7465
-3.0101 -3.9532 -1.7277
-0.1251 -1.1633 -5.1288
Cs Ag Sm
1 1 1
Cartesian
-0.6801 -7.1626 -6.4523 Cs
-0.2267 -2.3875 -2.1508 Ag
0.0000 0.0000 0.0000 Sm
```

Results
Energy ... -0.151 Ry/atom
Space group ... F-43m (216)
Calculated density ... 6.31 g/cm³



(4)
DFT (GGA-PBE) results for crystalline ZnCuNiBi at its relaxed geometry.

The structure in POSCAR format:
```
ZnCuNiBi
1.0
0.0000 3.2192 3.2192
3.2192 0.0000 3.2192
3.2192 3.2192 0.0000
Cu Zn Ni Bi
1 1 1 1
Cartesian
4.8288 4.8288 4.8288 Cu
0.0000 0.0000 0.0000 Zn
3.2192 3.2192 3.2192 Ni
1.6096 1.6096 1.6096 Bi
```

Results
Space group ... F-43m (216)
Energy above the most stable polymorph in this dataset ... 39 kJ/mol of formula units
Calculated density ... 9.87 g/cm³



(5)
DFT (GGA-PBE) results for crystalline GdCdHgAu at its relaxed geometry.

The structure in POSCAR format:
```
GdCdHgAu
1.0
2.7820 3.0193 2.9005
-2.2224 2.9911 3.3738
0.4699 -0.9660 4.9106
Gd Au Cd Hg
1 1 1 1
Cartesian
0.7722 3.7833 8.3887 Gd
0.0000 0.0000 0.0000 Au
0.2574 1.2611 2.7962 Cd
0.5148 2.5222 5.5925 Hg
```

Results
Space group ... F-43m (216)
E_form ... -0.5397 eV per atom
Calculated density ... 12.34 g/cm³



(6)
DFT (GGA-PBE) results for crystalline YTl2AuBr6 at its relaxed geometry.

The structure in POSCAR format:
```
YTl2AuBr6
1.0
0.0000 5.5549 5.5549
5.5549 0.0000 5.5549
5.5549 5.5549 0.0000
Br Y Tl Au
6 1 2 1
Cartesian
5.5549 2.7642 5.5549 Br
8.3456 5.5549 5.5549 Br
2.7642 5.5549 5.5549 Br
5.5549 5.5549 2.7642 Br
5.5549 8.3456 5.5549 Br
5.5549 5.5549 8.3456 Br
0.0000 0.0000 0.0000 Y
2.7774 2.7774 2.7774 Tl
8.3323 8.3323 8.3323 Tl
5.5549 5.5549 5.5549 Au
```

Results
Energy ... -0.253 Ry/atom
Space group ... Fm-3m (225)
Calculated density ... 5.69 g/cm³



(7)
DFT (GGA-PBE) results for crystalline DyScGa4Pt2 at its relaxed geometry.

The structure in POSCAR format:
```
DyScGa4Pt2
1.0
6.6793 0.0000 0.0000
0.0000 2.1496 5.0011
0.0000 -2.1496 5.0011
Ga Pt Sc Dy
4 2 1 1
Cartesian
4.6479 0.0000 6.3113 Ga
5.3145 0.0000 3.7144 Ga
2.0315 0.0000 6.3113 Ga
1.3648 0.0000 3.7144 Ga
3.3397 0.0000 2.0349 Pt
0.0000 0.0000 7.9401 Pt
3.3397 0.0000 9.1668 Sc
0.0000 0.0000 0.8160 Dy
```

Results
Energy ... -0.389 Ry/atom
Space group ... Amm2 (38)
Calculated density ... 10.13 g/cm³



(8)
DFT (GGA-PBE) results for crystalline Li2Sc2AlGaPt2 at its relaxed geometry.

The structure in POSCAR format:
```
Li2Sc2AlGaPt2
1.0
4.4761 0.0000 0.0000
0.0000 4.4761 0.0000
0.0000 0.0000 6.3411
Sc Al Pt Li Ga
2 1 2 2 1
Cartesian
2.2380 2.2380 0.0000 Sc
0.0000 0.0000 3.1706 Sc
0.0000 0.0000 0.0000 Al
2.2380 0.0000 4.7983 Pt
0.0000 2.2380 1.5429 Pt
2.2380 0.0000 1.5996 Li
0.0000 2.2380 4.7415 Li
2.2380 2.2380 3.1706 Ga
```

Results
Energy ... -0.388 Ry/atom
Space group ... P-4m2 (115)
Calculated density ... 7.72 g/cm³



(9)
DFT (GGA-PBE) results for crystalline CdCu10 at its relaxed geometry.

The structure in POSCAR format:
```
CdCu10
1.0
-3.6135 -2.1770 1.2695
-3.1525 -2.1497 -2.2020
13.4389 -21.0555 1.6186
Cu Cd
20 2
Cartesian
9.8996 -17.7175 1.1750 Cu
7.4502 -18.3660 0.8446 Cu
9.2623 -15.2356 1.1099 Cu
4.8376 -8.3211 0.5768 Cu
-0.7774 -7.0162 -0.1585 Cu
5.4834 -10.8295 0.6428 Cu
0.5457 -12.0444 -0.0224 Cu
1.8352 -17.0611 0.1093 Cu
4.3035 -16.4394 0.4420 Cu
-2.5894 -10.1466 -0.4237 Cu
3.6583 -13.9404 0.3760 Cu
4.9619 -18.9380 0.5097 Cu
3.0146 -11.4417 0.3102 Cu
2.3694 -8.9428 0.2442 Cu
-0.1084 -9.5398 -0.0895 Cu
6.1272 -13.3377 0.7085 Cu
6.7813 -15.8424 0.7757 Cu
1.7110 -6.4442 0.1764 Cu
-3.2268 -7.6647 -0.4888 Cu
1.1895 -14.5527 0.0433 Cu
0.8501 -3.5830 0.0847 Cd
5.8228 -21.7992 0.6015 Cd
```

Results
Space group ... C2/m (12)
E_form ... 0.0830 eV per atom
Calculated density ... 7.01 g/cm³



(10)
DFT (GGA-PBE) results for crystalline SmDyHo2Tl2 at its relaxed geometry.

The structure in POSCAR format:
```
SmDyHo2Tl2
1.0
5.4130 0.0000 0.0000
-2.7065 4.6878 0.0000
0.0000 0.0000 6.7352
Ho Tl Dy Sm
2 2 1 1
Cartesian
2.7065 1.5626 5.0790 Ho
2.7065 1.5626 1.6562 Ho
0.0000 3.1252 0.0000 Tl
0.0000 0.0000 3.3676 Tl
0.0000 0.0000 0.0000 Dy
0.0000 3.1252 3.3676 Sm
```

Results
Energy ... -0.303 Ry/atom
Space group ... P-6m2 (187)
Calculated density ... 10.22 g/cm³



(11)
DFT (GGA-PBE) results for crystalline RbSm2Cu3Te4Se at its relaxed geometry.

The structure in POSCAR format:
```
RbSm2Cu3Te4Se
1.0
2.1780 -7.7431 0.0000
2.1780 7.7431 0.0000
0.0000 0.0000 18.0626
Te Cu Se Sm Rb
8 6 2 4 2
Cartesian
2.1780 -2.4661 10.3411 Te
2.1780 -6.9138 11.2445 Te
2.1780 -2.4661 16.7527 Te
2.1780 6.9138 2.2132 Te
2.1780 -6.9138 15.8493 Te
2.1780 2.4661 1.3098 Te
2.1780 6.9138 6.8180 Te
2.1780 2.4661 7.7214 Te
2.1780 -6.4348 0.3721 Cu
2.1780 5.1846 4.5156 Cu
2.1780 -6.4348 8.6591 Cu
2.1780 6.4348 9.4034 Cu
2.1780 -5.1846 13.5469 Cu
2.1780 6.4348 17.6904 Cu
2.1780 -3.7500 4.5156 Se
2.1780 3.7500 13.5469 Se
2.1780 3.0032 10.7758 Sm
2.1780 3.0032 16.3181 Sm
2.1780 -3.0032 1.7445 Sm
2.1780 -3.0032 7.2868 Sm
2.1780 1.0609 4.5156 Rb
2.1780 -1.0609 13.5469 Rb
```

Results
Energy ... -0.318 Ry/atom
Space group ... Cmcm (63)
Calculated density ... 6.36 g/cm³



(12)
DFT (GGA-PBE) results for crystalline LuTlFePd at its relaxed geometry.

The structure in POSCAR format:
```
LuTlFePd
1.0
0.0000 3.3814 3.3814
3.3814 0.0000 3.3814
3.3814 3.3814 0.0000
Pd Lu Tl Fe
1 1 1 1
Cartesian
3.3814 3.3814 3.3814 Pd
1.6907 1.6907 1.6907 Lu
0.0000 0.0000 0.0000 Tl
5.0721 5.0721 5.0721 Fe
```

Results
Space group ... F-43m (216)
Energy above the most stable polymorph in this dataset ... 32 kJ/mol of formula units
Calculated density ... 11.63 g/cm³